Compound: CoCuO2F
Source: Alexandria via LeMat-Bulk
Functional: SCAN
Structure: single point on PBEsol structure

The structure in CIF format:
```
data_CoCuO2F
_symmetry_space_group_name_H-M 'P 4/m m m'
_symmetry_Int_Tables_number 123
_symmetry_space_group_name_Hall '-P 4 2'
_cell_length_a 3.744
_cell_length_b 3.744
_cell_length_c 3.655
_cell_angle_alpha 90.00
_cell_angle_beta 90.00
_cell_angle_gamma 90.00
loop_
_atom_site_label
_atom_site_type_symbol
_atom_site_fract_x
_atom_site_fract_y
_atom_site_fract_z
Co1 Co 0.000 0.000 0.000
Cu1 Cu 0.500 0.500 0.500
O1 O 0.000 0.500 0.500
F1 F 0.500 0.500 0.000
```

Its uncorrected formation energy is -2.70 eV per formula unit. The value obtained for the spin magnetization is 3.127 μB/f.u. Its density of states at the Fermi level is 1.23 states/eV/f.u.

***

Compound: FeCoCu2
Source: Alexandria via LeMat-Bulk
Functional: SCAN
Structure: single point on PBEsol structure

The structure in CIF format:
```
data_FeCoCu2
_symmetry_space_group_name_H-M 'C m m m'
_symmetry_Int_Tables_number 65
_symmetry_space_group_name_Hall '-C 2 2'
_cell_length_a 4.872
_cell_length_b 7.429
_cell_length_c 2.446
_cell_angle_alpha 90.00
_cell_angle_beta 90.00
_cell_angle_gamma 90.00
loop_
_atom_site_label
_atom_site_type_symbol
_atom_site_fract_x
_atom_site_fract_y
_atom_site_fract_z
Fe1 Fe 0.000 0.000 0.000
Co1 Co 0.000 0.500 0.000
Cu1 Cu 0.250 0.250 0.500
```

Its formation energy is 92 meV/atom. The value obtained for the spin magnetization is 4.756 μB/f.u. Its density of states at the Fermi level is 1.73 states/eV/f.u.

***

Compound: FeCoCu
Source: Alexandria via LeMat-Bulk
Functional: SCAN
Structure: single point on PBEsol structure

The structure in CIF format:
```
data_FeCoCu
_symmetry_space_group_name_H-M 'I m m 2'
_symmetry_Int_Tables_number 44
_cell_length_a 2.425
_cell_length_b 3.636
_cell_length_c 7.413
_cell_angle_alpha 90.00
_cell_angle_beta 90.00
_cell_angle_gamma 90.00
loop_
_symmetry_equiv_pos_as_xyz
'x,y,z'
'-x,-y,z'
'-x,y,z'
'x,-y,z'
'x+1/2,y+1/2,z+1/2'
'-x+1/2,-y+1/2,z+1/2'
'-x+1/2,y+1/2,z+1/2'
'x+1/2,-y+1/2,z+1/2'
loop_
_atom_site_label
_atom_site_type_symbol
_atom_site_fract_x
_atom_site_fract_y
_atom_site_fract_z
Fe1 Fe 0.000 0.000 0.000
Co1 Co 0.000 0.000 0.666
Cu1 Cu 0.000 0.000 0.331
```

Its formation energy is 65 meV/atom. The value obtained for the spin magnetization is 4.412 μB/f.u. Its density of states at the Fermi level is 1.69 states/eV/f.u.

***

Compound: Li4Fe3Co2Cu3O16
Source: Alexandria via LeMat-Bulk
Functional: SCAN
Structure: single point on PBEsol structure

The structure in CIF format:
```
data_Li4Fe3Co2Cu3O16
_symmetry_space_group_name_H-M 'C 1 m 1'
_symmetry_Int_Tables_number 8
_cell_length_a 10.087
_cell_length_b 5.530
_cell_length_c 9.117
_cell_angle_alpha 90.00
_cell_angle_beta 93.96
_cell_angle_gamma 90.00
loop_
_symmetry_equiv_pos_as_xyz
'x,y,z'
'x,-y,z'
'x+1/2,y+1/2,z'
'x+1/2,-y+1/2,z'
loop_
_atom_site_label
_atom_site_type_symbol
_atom_site_fract_x
_atom_site_fract_y
_atom_site_fract_z
Li1 Li 0.000 0.000 0.000
Li2 Li 0.015 0.000 0.504
Li3 Li 0.154 0.500 0.901
Li4 Li 0.339 0.000 0.406
Fe1 Fe 0.087 0.262 0.221
Fe2 Fe 0.174 0.000 0.724
Co1 Co 0.179 0.500 0.495
Co2 Co 0.334 0.000 0.993
Cu1 Cu 0.333 0.500 0.217
Cu2 Cu 0.414 0.248 0.717
O1 O 0.009 0.000 0.806
O2 O 0.010 0.000 0.310
O3 O 0.026 0.500 0.353
O4 O 0.108 0.255 0.607
O5 O 0.161 0.500 0.110
O6 O 0.166 0.000 0.120
O7 O 0.233 0.276 0.354
O8 O 0.244 0.211 0.866
O9 O 0.324 0.000 0.620
O10 O 0.347 0.500 0.586
O11 O 0.426 0.237 0.107
O12 O 0.466 0.000 0.860
```

Its uncorrected formation energy is -39.30 eV per formula unit. The value obtained for the spin magnetization is 9.004 μB/f.u. Its density of states at the Fermi level is 3.55 states/eV/f.u.

***

Compound: FeCo2CuN
Source: Alexandria via LeMat-Bulk
Functional: SCAN
Structure: single point on PBEsol structure

The structure in CIF format:
```
data_FeCo2CuN
_symmetry_space_group_name_H-M 'P 4/m m m'
_symmetry_Int_Tables_number 123
_symmetry_space_group_name_Hall '-P 4 2'
_cell_length_a 3.676
_cell_length_b 3.676
_cell_length_c 3.711
_cell_angle_alpha 90.00
_cell_angle_beta 90.00
_cell_angle_gamma 90.00
loop_
_atom_site_label
_atom_site_type_symbol
_atom_site_fract_x
_atom_site_fract_y
_atom_site_fract_z
Fe1 Fe 0.000 0.000 0.000
Co1 Co 0.000 0.500 0.500
Cu1 Cu 0.500 0.500 0.000
N1 N 0.000 0.000 0.500
```

Its uncorrected formation energy is -0.07 eV per formula unit. The value obtained for the spin magnetization is 5.587 μB/f.u. Its density of states at the Fermi level is 3.01 states/eV/f.u.

***

Compound: FeCo2CuSi
Source: Alexandria via LeMat-Bulk
Functional: SCAN
Structure: single point on PBEsol structure

The structure in CIF format:
```
data_FeCo2CuSi
_symmetry_space_group_name_H-M 'P 4/m m m'
_symmetry_Int_Tables_number 123
_symmetry_space_group_name_Hall '-P 4 2'
_cell_length_a 4.025
_cell_length_b 4.025
_cell_length_c 4.321
_cell_angle_alpha 90.00
_cell_angle_beta 90.00
_cell_angle_gamma 90.00
loop_
_atom_site_label
_atom_site_type_symbol
_atom_site_fract_x
_atom_site_fract_y
_atom_site_fract_z
Fe1 Fe 0.000 0.000 0.000
Co1 Co 0.000 0.500 0.000
Cu1 Cu 0.000 0.000 0.500
Si1 Si 0.500 0.500 0.500
```

Its uncorrected formation energy is 6.64 eV per formula unit. The value obtained for the spin magnetization is 6.157 μB/f.u. Its density of states at the Fermi level is 3.34 states/eV/f.u.

***

Compound: GaCo2CuO
Source: Alexandria via LeMat-Bulk
Functional: SCAN
Structure: single point on PBEsol structure

The structure in CIF format:
```
data_GaCo2CuO
_symmetry_space_group_name_H-M 'P 4/m m m'
_symmetry_Int_Tables_number 123
_symmetry_space_group_name_Hall '-P 4 2'
_cell_length_a 3.737
_cell_length_b 3.737
_cell_length_c 3.926
_cell_angle_alpha 90.00
_cell_angle_beta 90.00
_cell_angle_gamma 90.00
loop_
_atom_site_label
_atom_site_type_symbol
_atom_site_fract_x
_atom_site_fract_y
_atom_site_fract_z
Ga1 Ga 0.000 0.000 0.000
Co1 Co 0.000 0.500 0.500
Cu1 Cu 0.500 0.500 0.000
O1 O 0.500 0.500 0.500
```

Its uncorrected formation energy is -0.20 eV per formula unit. The value obtained for the spin magnetization is 2.217 μB/f.u. Its density of states at the Fermi level is 2.04 states/eV/f.u.

***

Compound: Sr2GdCoCu2O7
Source: Alexandria via LeMat-Bulk
Functional: SCAN
Structure: single point on PBEsol structure

The structure in CIF format:
```
data_Sr2GdCoCu2O7
_symmetry_space_group_name_H-M 'I m a 2'
_symmetry_Int_Tables_number 46
_cell_length_a 22.576
_cell_length_b 5.439
_cell_length_c 5.397
_cell_angle_alpha 90.00
_cell_angle_beta 90.00
_cell_angle_gamma 90.00
loop_
_symmetry_equiv_pos_as_xyz
'x,y,z'
'-x,-y,z'
'-x+1/2,y,z'
'x+1/2,-y,z'
'x+1/2,y+1/2,z+1/2'
'-x+1/2,-y+1/2,z+1/2'
'-x,y+1/2,z+1/2'
'x,-y+1/2,z+1/2'
loop_
_atom_site_label
_atom_site_type_symbol
_atom_site_fract_x
_atom_site_fract_y
_atom_site_fract_z
Sr1 Sr 0.151 0.009 0.000
Gd1 Gd 0.000 0.000 0.001
Co1 Co 0.250 0.564 0.966
Cu1 Cu 0.072 0.000 0.501
O1 O 0.064 0.248 0.249
O2 O 0.067 0.749 0.252
O3 O 0.175 0.029 0.515
O4 O 0.250 0.620 0.615
```

Its uncorrected formation energy is -28.21 eV per formula unit. The value obtained for the spin magnetization is 3.088 μB/f.u. Its density of states at the Fermi level is 3.23 states/eV/f.u.

***

Compound: Co2CuGe2
Source: Alexandria via LeMat-Bulk
Functional: SCAN
Structure: single point on PBEsol structure

The structure in CIF format:
```
data_Co2CuGe2
_symmetry_space_group_name_H-M 'P m m a'
_symmetry_Int_Tables_number 51
_cell_length_a 4.938
_cell_length_b 3.804
_cell_length_c 6.592
_cell_angle_alpha 90.00
_cell_angle_beta 90.00
_cell_angle_gamma 90.00
loop_
_symmetry_equiv_pos_as_xyz
'x,y,z'
'-x,-y,-z'
'-x+1/2,-y,z'
'x+1/2,y,-z'
'x+1/2,-y,-z'
'-x+1/2,y,z'
'-x,y,-z'
'x,-y,z'
loop_
_atom_site_label
_atom_site_type_symbol
_atom_site_fract_x
_atom_site_fract_y
_atom_site_fract_z
Co1 Co 0.000 0.000 0.000
Co2 Co 0.250 0.000 0.340
Cu1 Cu 0.000 0.500 0.500
Ge1 Ge 0.250 0.000 0.696
Ge2 Ge 0.250 0.500 0.122
```

Its formation energy is -140 meV/atom. The value obtained for the spin magnetization is 0.848 μB/f.u. Its density of states at the Fermi level is 1.93 states/eV/f.u.

***

Compound: KCoCuGe2
Source: Alexandria via LeMat-Bulk
Functional: SCAN
Structure: single point on PBEsol structure

The structure in CIF format:
```
data_KCoCuGe2
_symmetry_space_group_name_H-M 'P 4/m m m'
_symmetry_Int_Tables_number 123
_symmetry_space_group_name_Hall '-P 4 2'
_cell_length_a 4.629
_cell_length_b 4.629
_cell_length_c 4.727
_cell_angle_alpha 90.00
_cell_angle_beta 90.00
_cell_angle_gamma 90.00
loop_
_atom_site_label
_atom_site_type_symbol
_atom_site_fract_x
_atom_site_fract_y
_atom_site_fract_z
K1 K 0.000 0.000 0.000
Co1 Co 0.500 0.500 0.000
Cu1 Cu 0.500 0.500 0.500
Ge1 Ge 0.000 0.500 0.500
```

Its formation energy is 563 meV/atom. The value obtained for the spin magnetization is 2.050 μB/f.u. Its density of states at the Fermi level is 3.68 states/eV/f.u.

***

Compound: CoCu2GeSe4
Source: Alexandria via LeMat-Bulk
Functional: SCAN
Structure: single point on PBEsol structure

The structure in CIF format:
```
data_CoCu2GeSe4
_symmetry_space_group_name_H-M 'I -4'
_symmetry_Int_Tables_number 82
_cell_length_a 5.476
_cell_length_b 5.476
_cell_length_c 10.949
_cell_angle_alpha 90.00
_cell_angle_beta 90.00
_cell_angle_gamma 90.00
loop_
_symmetry_equiv_pos_as_xyz
'x,y,z'
'y,-x,-z'
'-x,-y,z'
'-y,x,-z'
'x+1/2,y+1/2,z+1/2'
'y+1/2,-x+1/2,-z+1/2'
'-x+1/2,-y+1/2,z+1/2'
'-y+1/2,x+1/2,-z+1/2'
loop_
_atom_site_label
_atom_site_type_symbol
_atom_site_fract_x
_atom_site_fract_y
_atom_site_fract_z
Co1 Co 0.000 0.000 0.000
Cu1 Cu 0.000 0.000 0.500
Cu2 Cu 0.000 0.500 0.750
Ge1 Ge 0.000 0.500 0.250
Se1 Se 0.240 0.749 0.881
```

Its uncorrected formation energy is -2.22 eV per formula unit. The value obtained for the spin magnetization is 2.999 μB/f.u. Its density of states at the Fermi level is 0.50 states/eV/f.u.

***

Compound: LaCoCu2H
Source: Alexandria via LeMat-Bulk
Functional: SCAN
Structure: single point on PBEsol structure

The structure in CIF format:
```
data_LaCoCu2H
_symmetry_space_group_name_H-M 'P 4/m m m'
_symmetry_Int_Tables_number 123
_symmetry_space_group_name_Hall '-P 4 2'
_cell_length_a 5.028
_cell_length_b 5.028
_cell_length_c 3.863
_cell_angle_alpha 90.00
_cell_angle_beta 90.00
_cell_angle_gamma 90.00
loop_
_atom_site_label
_atom_site_type_symbol
_atom_site_fract_x
_atom_site_fract_y
_atom_site_fract_z
La1 La 0.000 0.000 0.000
Co1 Co 0.500 0.500 0.500
Cu1 Cu 0.000 0.500 0.000
H1 H 0.000 0.000 0.500
```

The value obtained for the spin magnetization is 2.101 μB/f.u. Its density of states at the Fermi level is 2.00 states/eV/f.u. The value obtained for the total energy is -17.75 eV/atom.